First-principles (PBE) data for a relaxed Be2TlZn2 crystal, as listed in the Alexandria database.

ΔE_f in meV/atom: 475
M_tot in μB/cell: 0.00
E above lowest polymorph in meV per atom: 42.2
DOS(E_F) in states/eV/atom: 0.2657
Total energy in eV per atom: -2.00

abc: 7.5643 7.5643 2.7279
angles: 90.00 90.00 90.00
Fractional positions:
Be 0.1653 0.6653 0.5000
Be 0.6653 0.8347 0.5000
Be 0.8347 0.3347 0.5000
Be 0.3347 0.1653 0.5000
Tl 0.0000 0.0000 0.0000
Tl 0.5000 0.5000 0.0000
Zn 0.3742 0.8742 0.0000
Zn 0.8742 0.6258 0.0000
Zn 0.6258 0.1258 0.0000
Zn 0.1258 0.3742 0.0000